Compound: Ac3TmGe2N6
Source: the Alexandria database
Functional: PBE
Structure: relaxed

Calculated values
The calculation puts the density of states at the Fermi level at 0.47 states/eV/atom. For the formation energy from raw total energies, the calculation gives -0.84 eV/atom. The symmetry is P-3m1, No. 164.

Unit cell a=6.060 b=6.060 c=6.700 alpha=90.00 beta=90.00 gamma=120.00
Positions (direct):
Ac 0.000 0.000 0.000
Ac 0.333 0.667 0.636
Ac 0.667 0.333 0.364
Tm 0.000 0.000 0.500
Ge 0.333 0.667 0.177
Ge 0.667 0.333 0.823
N 0.173 0.346 0.297
N 0.173 0.827 0.297
N 0.346 0.173 0.703
N 0.654 0.827 0.297
N 0.827 0.173 0.703
N 0.827 0.654 0.703

Compound: Ac2UGeN5
Source: the Alexandria database
Functional: PBE
Structure: relaxed

Calculated values
The calculation puts the density of states at the Fermi level at 0.29 states/eV/atom. For the formation energy from raw total energies, the calculation gives -0.97 eV/atom. The symmetry is Cmc2_1, No. 36.

Unit cell a=7.601 b=7.601 c=11.078 alpha=90.00 beta=90.00 gamma=152.78
Positions (direct):
Ac 0.108 0.892 0.500
Ac 0.133 0.867 0.148
Ac 0.867 0.133 0.648
Ac 0.892 0.108 0.000
U 0.199 0.801 0.849
U 0.801 0.199 0.349
Ge 0.451 0.549 0.257
Ge 0.549 0.451 0.757
N 0.040 0.960 0.842
N 0.290 0.710 0.472
N 0.320 0.680 0.216
N 0.339 0.661 0.831
N 0.494 0.506 0.609
N 0.506 0.494 0.109
N 0.661 0.339 0.331
N 0.680 0.320 0.716
N 0.710 0.290 0.972
N 0.960 0.040 0.342

Compound: Ac2UGe2N6
Source: the Alexandria database
Functional: PBE
Structure: relaxed

Calculated values
For the formation energy from raw total energies, the calculation gives -0.72 eV/atom. The symmetry is R-3m, No. 166.

Unit cell a=6.770 b=6.770 c=6.770 alpha=52.67 beta=52.67 gamma=52.67
Positions (direct):
Ac 0.212 0.212 0.212
Ac 0.788 0.788 0.788
U 0.000 0.000 0.000
Ge 0.434 0.434 0.434
Ge 0.566 0.566 0.566
N 0.235 0.760 0.760
N 0.240 0.240 0.765
N 0.240 0.765 0.240
N 0.760 0.235 0.760
N 0.760 0.760 0.235
N 0.765 0.240 0.240

Compound: Ac2VGe2N6
Source: the Alexandria database
Functional: PBE
Structure: relaxed

Calculated values
The calculation puts the density of states at the Fermi level at 0.19 states/eV/atom. For the formation energy from raw total energies, the calculation gives -0.43 eV/atom. The symmetry is R-3m, No. 166.

Unit cell a=6.378 b=6.378 c=6.378 alpha=54.26 beta=54.26 gamma=54.26
Positions (direct):
Ac 0.212 0.212 0.212
Ac 0.788 0.788 0.788
V 0.000 0.000 0.000
Ge 0.410 0.410 0.410
Ge 0.590 0.590 0.590
N 0.231 0.764 0.764
N 0.236 0.236 0.769
N 0.236 0.769 0.236
N 0.764 0.231 0.764
N 0.764 0.764 0.231
N 0.769 0.236 0.236

Compound: Ac3YGe2N6
Source: the Alexandria database
Functional: PBE
Structure: relaxed

Calculated values
The calculation puts the density of states at the Fermi level at 0.44 states/eV/atom. For the formation energy from raw total energies, the calculation gives -0.80 eV/atom. The symmetry is P-3m1, No. 164.

Unit cell a=6.101 b=6.101 c=6.716 alpha=90.00 beta=90.00 gamma=120.00
Positions (direct):
Ac 0.000 0.000 0.000
Ac 0.333 0.667 0.635
Ac 0.667 0.333 0.365
Y 0.000 0.000 0.500
Ge 0.333 0.667 0.175
Ge 0.667 0.333 0.825
N 0.174 0.348 0.294
N 0.174 0.826 0.294
N 0.348 0.174 0.706
N 0.652 0.826 0.294
N 0.826 0.174 0.706
N 0.826 0.652 0.706

Compound: Ac2ZrGe2N6
Source: the Alexandria database
Functional: PBE
Structure: relaxed

Calculated values
For the formation energy from raw total energies, the calculation gives -0.68 eV/atom. The symmetry is R-3m, No. 166.

Unit cell a=6.690 b=6.690 c=6.690 alpha=52.49 beta=52.49 gamma=52.49
Positions (direct):
Ac 0.210 0.210 0.210
Ac 0.790 0.790 0.790
Zr 0.000 0.000 0.000
Ge 0.416 0.416 0.416
Ge 0.584 0.584 0.584
N 0.234 0.754 0.754
N 0.246 0.246 0.766
N 0.246 0.766 0.246
N 0.754 0.234 0.754
N 0.754 0.754 0.234
N 0.766 0.246 0.246